DFT (PBE+U) results for a relaxed structure of KLi2CoO4.

Cell lengths 5.300, 5.300, 7.369 Å; angles 90.00, 90.00, 90.00 degrees
Space group I-42m (No. 121)
Asymmetric unit:
1 K 0.000 0.000 0.000
2 Li 0.000 0.500 0.250
3 Co 0.000 0.000 0.500
4 O 0.183 0.183 0.352

Properties
total magnetization: 4.00 μB per formula unit
VASP energy: -0.1834 hartree per atom